(1)
! Zr2CoH | Alexandria via LeMat-Bulk | PBE | optimized geometry; values from VASP
&SYSTEM
  ibrav = 0, nat = 8, ntyp = 3
/
ATOMIC_SPECIES
Zr 91.22 Zr.upf
Co 58.93 Co.upf
H 1.01 H.upf
CELL_PARAMETERS angstrom
-1.668 3.084 5.891
1.668 -3.084 5.891
1.668 3.084 -5.891
ATOMIC_POSITIONS angstrom
Zr 0.000 0.000 2.630
Zr 1.668 1.544 0.000
Zr 0.000 1.540 5.891
Zr 0.000 0.000 9.151
Co 1.668 0.000 4.531
Co 0.000 3.084 1.360
H 1.668 0.000 1.375
H 0.000 3.084 4.516
! Symmetry: No. 71
! Calculated volume (Å³/cell): 121.2
! Energy above the lowest structure with this stoichiometry (meV/atom): 0
! Total moment (μB/f.u.): 0.00

---

(2)
! Hf5Co | Alexandria via LeMat-Bulk | PBE | optimized geometry; values from VASP
&SYSTEM
  ibrav = 0, nat = 6, ntyp = 2
/
ATOMIC_SPECIES
Hf 178.49 Hf.upf
Co 58.93 Co.upf
CELL_PARAMETERS angstrom
1.620 -7.365 0.000
1.620 7.365 0.000
0.000 0.000 5.024
ATOMIC_POSITIONS angstrom
Hf 0.000 0.000 0.000
Hf 1.620 5.191 2.512
Hf 1.620 2.465 0.000
Hf 1.620 -2.465 0.000
Hf 1.620 -5.191 2.512
Co 1.620 0.000 2.512
! Formation energy (eV/atom): 0.063
! Symmetry: No. 65
! Calculated volume (Å³/cell): 119.9
! Total moment (μB/f.u.): 0.00

---

(3)
! HfCo6 | Alexandria via LeMat-Bulk | PBE | optimized geometry; values from VASP
&SYSTEM
  ibrav = 0, nat = 7, ntyp = 2
/
ATOMIC_SPECIES
Hf 178.49 Hf.upf
Co 58.93 Co.upf
CELL_PARAMETERS angstrom
-2.961 2.961 2.961
2.961 -2.961 2.961
2.961 2.961 -2.961
ATOMIC_POSITIONS angstrom
Hf 0.000 0.000 0.000
Co 2.961 1.481 0.000
Co 2.961 0.000 1.481
Co 1.481 2.961 0.000
Co 1.481 0.000 2.961
Co 0.000 2.961 1.481
Co 0.000 1.481 2.961
! Formation energy (eV/atom): 0.789
! Symmetry: No. 229
! Calculated volume (Å³/cell): 103.9
! Energy above the lowest structure with this stoichiometry (meV/atom): 923
! Total moment (μB/f.u.): 0.00

---

(4)
! HfCo4 | Alexandria via LeMat-Bulk | PBE | optimized geometry; values from VASP
&SYSTEM
  ibrav = 0, nat = 5, ntyp = 2
/
ATOMIC_SPECIES
Hf 178.49 Hf.upf
Co 58.93 Co.upf
CELL_PARAMETERS angstrom
4.460 0.000 0.000
0.000 4.460 0.000
0.000 0.000 4.460
ATOMIC_POSITIONS angstrom
Hf 0.000 0.000 0.000
Co 0.000 0.000 2.230
Co 0.000 2.230 0.000
Co 2.230 0.000 0.000
Co 2.230 2.230 2.230
! Formation energy (eV/atom): 1.650
! Symmetry: No. 221
! Calculated volume (Å³/cell): 88.7
! Energy above the lowest structure with this stoichiometry (meV/atom): 1720
! Total moment (μB/f.u.): 4.59

---

(5)
! Hf4Co | Alexandria via LeMat-Bulk | PBE | optimized geometry; values from VASP
&SYSTEM
  ibrav = 0, nat = 5, ntyp = 2
/
ATOMIC_SPECIES
Hf 178.49 Hf.upf
Co 58.93 Co.upf
CELL_PARAMETERS angstrom
4.787 0.000 0.000
0.000 4.787 0.000
0.000 0.000 4.787
ATOMIC_POSITIONS angstrom
Hf 0.000 0.000 0.000
Hf 0.000 2.393 2.393
Hf 2.393 0.000 2.393
Hf 2.393 2.393 0.000
Co 2.393 2.393 2.393
! Formation energy (eV/atom): 0.226
! Symmetry: No. 221
! Calculated volume (Å³/cell): 109.7
! Energy above the lowest structure with this stoichiometry (meV/atom): 341
! Total moment (μB/f.u.): 0.00

---

(6)
! Hf2Co3 | Alexandria via LeMat-Bulk | PBE | optimized geometry; values from VASP
&SYSTEM
  ibrav = 0, nat = 10, ntyp = 2
/
ATOMIC_SPECIES
Hf 178.49 Hf.upf
Co 58.93 Co.upf
CELL_PARAMETERS angstrom
2.517 -4.313 0.000
2.517 4.313 0.000
0.000 0.000 6.833
ATOMIC_POSITIONS angstrom
Hf 2.517 2.927 6.169
Hf 2.517 1.386 2.752
Hf 2.517 -1.386 4.080
Hf 2.517 -2.927 0.664
Co 0.000 0.000 3.416
Co 1.259 0.904 5.125
Co 1.259 -0.904 1.708
Co 2.517 0.000 0.000
Co 3.776 0.904 5.125
Co 3.776 -0.904 1.708
! Formation energy (eV/atom): -0.337
! Symmetry: No. 64
! Calculated volume (Å³/cell): 148.4
! Total moment (μB/f.u.): 0.94

---

(7)
! Hf4Co | Alexandria via LeMat-Bulk | PBE | optimized geometry; values from VASP
&SYSTEM
  ibrav = 0, nat = 10, ntyp = 2
/
ATOMIC_SPECIES
Hf 178.49 Hf.upf
Co 58.93 Co.upf
CELL_PARAMETERS angstrom
0.000 5.523 3.419
5.503 0.000 3.419
5.503 5.523 0.000
ATOMIC_POSITIONS angstrom
Hf 1.296 0.917 1.310
Hf 4.207 4.606 1.310
Hf 4.048 1.845 3.020
Hf 6.417 4.224 3.419
Hf 1.455 3.678 3.020
Hf 4.590 6.822 3.419
Hf 7.342 6.986 5.129
Hf 9.168 9.583 5.129
Co 2.752 2.761 0.653
Co 5.503 5.523 5.782
! Formation energy (eV/atom): -0.037
! Symmetry: No. 43
! Calculated volume (Å³/cell): 207.9
! Energy above the lowest structure with this stoichiometry (meV/atom): 78
! Total moment (μB/f.u.): 0.00

---

(8)
! Hf4Co | Alexandria via LeMat-Bulk | PBE | optimized geometry; values from VASP
&SYSTEM
  ibrav = 0, nat = 10, ntyp = 2
/
ATOMIC_SPECIES
Hf 178.49 Hf.upf
Co 58.93 Co.upf
CELL_PARAMETERS angstrom
0.000 4.809 4.809
4.809 0.000 4.809
4.809 4.809 0.000
ATOMIC_POSITIONS angstrom
Hf 7.351 4.672 4.672
Hf 2.268 2.268 2.268
Hf 4.946 4.946 2.268
Hf 4.946 2.268 4.946
Hf 4.672 7.351 4.672
Hf 4.672 4.672 7.351
Hf 7.351 7.351 7.351
Hf 2.268 4.946 4.946
Co 3.607 3.607 3.607
Co 6.012 6.012 6.012
! Formation energy (eV/atom): 0.510
! Symmetry: No. 227
! Calculated volume (Å³/cell): 222.5
! Energy above the lowest structure with this stoichiometry (meV/atom): 624
! Total moment (μB/f.u.): 0.00

---

(9)
! HfCo2 | Alexandria via LeMat-Bulk | PBE | optimized geometry; values from VASP
&SYSTEM
  ibrav = 0, nat = 3, ntyp = 2
/
ATOMIC_SPECIES
Hf 178.49 Hf.upf
Co 58.93 Co.upf
CELL_PARAMETERS angstrom
-1.573 1.573 4.327
1.573 -1.573 4.327
1.573 1.573 -4.327
ATOMIC_POSITIONS angstrom
Hf 0.000 0.000 0.000
Co 0.000 0.000 2.834
Co 0.000 0.000 5.821
! Formation energy (eV/atom): -0.139
! Symmetry: No. 139
! Calculated volume (Å³/cell): 42.8
! Total moment (μB/f.u.): 2.42

---

(10)
! Hf5Co6 | Alexandria via LeMat-Bulk | PBE | optimized geometry; values from VASP
&SYSTEM
  ibrav = 0, nat = 11, ntyp = 2
/
ATOMIC_SPECIES
Hf 178.49 Hf.upf
Co 58.93 Co.upf
CELL_PARAMETERS angstrom
-2.124 3.246 6.393
2.124 -3.246 6.393
2.124 3.246 -6.393
ATOMIC_POSITIONS angstrom
Hf 0.000 0.000 0.000
Hf 2.124 0.000 2.248
Hf 0.000 0.000 4.599
Hf 0.000 0.000 8.186
Hf 0.000 3.246 4.145
Co 2.124 -1.710 4.203
Co 2.124 1.428 0.000
Co 0.000 1.536 2.190
Co 2.124 1.710 4.203
Co 0.000 1.818 6.393
Co 0.000 4.955 2.190
! Formation energy (eV/atom): -0.219
! Symmetry: No. 71
! Calculated volume (Å³/cell): 176.3
! Total moment (μB/f.u.): 0.00

---

(11)
! HfCo6 | Alexandria via LeMat-Bulk | PBE | optimized geometry; values from VASP
&SYSTEM
  ibrav = 0, nat = 7, ntyp = 2
/
ATOMIC_SPECIES
Hf 178.49 Hf.upf
Co 58.93 Co.upf
CELL_PARAMETERS angstrom
5.213 0.000 0.000
0.000 5.213 0.000
0.000 0.000 5.213
ATOMIC_POSITIONS angstrom
Hf 0.000 0.000 0.000
Co 1.013 2.607 2.607
Co 2.607 1.013 2.607
Co 2.607 2.607 1.013
Co 2.607 2.607 4.200
Co 2.607 4.200 2.607
Co 4.200 2.607 2.607
! Formation energy (eV/atom): 1.482
! Symmetry: No. 221
! Calculated volume (Å³/cell): 141.7
! Energy above the lowest structure with this stoichiometry (meV/atom): 1617
! Total moment (μB/f.u.): 9.26

---

(12)
! Hf3Co4 | Alexandria via LeMat-Bulk | PBE | optimized geometry; values from VASP
&SYSTEM
  ibrav = 0, nat = 7, ntyp = 2
/
ATOMIC_SPECIES
Hf 178.49 Hf.upf
Co 58.93 Co.upf
CELL_PARAMETERS angstrom
2.146 1.239 7.065
-2.146 1.239 7.065
0.000 -2.478 7.065
ATOMIC_POSITIONS angstrom
Hf 0.000 0.000 0.000
Hf 0.000 0.000 5.073
Hf 0.000 0.000 16.121
Co 0.000 0.000 2.552
Co 0.000 0.000 7.907
Co 0.000 0.000 13.287
Co 0.000 0.000 18.642
! Formation energy (eV/atom): -0.095
! Symmetry: No. 166
! Calculated volume (Å³/cell): 112.7
! Total moment (μB/f.u.): 0.00

---

(13)
! HfCo4 | Alexandria via LeMat-Bulk | PBE | optimized geometry; values from VASP
&SYSTEM
  ibrav = 0, nat = 5, ntyp = 2
/
ATOMIC_SPECIES
Hf 178.49 Hf.upf
Co 58.93 Co.upf
CELL_PARAMETERS angstrom
0.000 2.565 5.084
2.558 0.000 5.084
2.558 2.565 0.000
ATOMIC_POSITIONS angstrom
Hf 0.000 0.000 0.000
Co 1.279 1.283 2.542
Co 2.558 2.565 3.991
Co 2.558 2.565 6.177
Co 3.837 3.848 7.626
! Formation energy (eV/atom): -0.070
! Symmetry: No. 69
! Calculated volume (Å³/cell): 66.7
! Energy above the lowest structure with this stoichiometry (meV/atom): 0
! Total moment (μB/f.u.): 4.99

---

(14)
! HfCo7 | Alexandria via LeMat-Bulk | PBE | optimized geometry; values from VASP
&SYSTEM
  ibrav = 0, nat = 8, ntyp = 2
/
ATOMIC_SPECIES
Hf 178.49 Hf.upf
Co 58.93 Co.upf
CELL_PARAMETERS angstrom
5.177 0.000 0.000
0.000 5.177 0.000
0.000 0.000 3.572
ATOMIC_POSITIONS angstrom
Hf 0.000 0.000 0.000
Co 0.000 2.588 0.000
Co 1.388 1.388 1.786
Co 1.388 3.789 1.786
Co 2.588 0.000 0.000
Co 2.588 2.588 0.000
Co 3.789 1.388 1.786
Co 3.789 3.789 1.786
! Formation energy (eV/atom): -0.065
! Symmetry: No. 123
! Calculated volume (Å³/cell): 95.7
! Total moment (μB/f.u.): 9.21

---

(15)
! Hf5Co2 | Alexandria via LeMat-Bulk | PBE | optimized geometry; values from VASP
&SYSTEM
  ibrav = 0, nat = 14, ntyp = 2
/
ATOMIC_SPECIES
Hf 178.49 Hf.upf
Co 58.93 Co.upf
CELL_PARAMETERS angstrom
7.410 -2.922 0.000
7.410 2.922 0.000
-0.621 0.000 6.197
ATOMIC_POSITIONS angstrom
Hf 6.944 2.541 4.648
Hf 3.067 0.396 1.887
Hf 2.756 -0.396 4.985
Hf 5.977 0.641 0.452
Hf 8.533 0.641 2.647
Hf 5.666 -0.641 3.550
Hf 8.222 -0.641 5.745
Hf 11.443 0.396 1.212
Hf 11.132 -0.396 4.310
Hf 7.255 -2.541 1.549
Co 5.501 1.731 2.681
Co 9.009 1.731 0.417
Co 5.190 -1.731 5.780
Co 8.698 -1.731 3.516
! Formation energy (eV/atom): -0.240
! Symmetry: No. 15
! Calculated volume (Å³/cell): 268.3
! Total moment (μB/f.u.): 0.00

---

(16)
! HfCo2 | Alexandria via LeMat-Bulk | PBE | optimized geometry; values from VASP
&SYSTEM
  ibrav = 0, nat = 6, ntyp = 2
/
ATOMIC_SPECIES
Hf 178.49 Hf.upf
Co 58.93 Co.upf
CELL_PARAMETERS angstrom
0.000 3.439 3.439
3.439 0.000 3.439
3.439 3.439 0.000
ATOMIC_POSITIONS angstrom
Hf 0.860 0.860 0.860
Hf 6.018 6.018 6.018
Co 3.439 1.719 1.719
Co 1.719 3.439 1.719
Co 1.719 1.719 3.439
Co 3.439 3.439 3.439
! Formation energy (eV/atom): -0.371
! Symmetry: No. 227
! Calculated volume (Å³/cell): 81.3
! Total moment (μB/f.u.): 1.18

---

(17)
! Hf6Co23 | Alexandria via LeMat-Bulk | PBE | optimized geometry; values from VASP
&SYSTEM
  ibrav = 0, nat = 29, ntyp = 2
/
ATOMIC_SPECIES
Hf 178.49 Hf.upf
Co 58.93 Co.upf
CELL_PARAMETERS angstrom
0.000 5.711 5.711
5.711 0.000 5.711
5.711 5.711 0.000
ATOMIC_POSITIONS angstrom
Hf 5.711 5.711 2.405
Hf 5.711 2.405 5.711
Hf 9.018 5.711 5.711
Hf 2.405 5.711 5.711
Hf 5.711 9.018 5.711
Hf 5.711 5.711 9.018
Co 2.856 2.856 0.000
Co 2.856 0.000 2.856
Co 5.711 2.856 2.856
Co 7.090 4.332 4.332
Co 1.990 1.990 1.990
Co 3.721 3.721 1.990
Co 3.721 1.990 3.721
Co 4.332 4.332 4.332
Co 7.090 7.090 4.332
Co 7.090 4.332 7.090
Co 1.990 3.721 3.721
Co 0.000 2.856 2.856
Co 2.856 5.711 2.856
Co 2.856 2.856 5.711
Co 5.711 5.711 5.711
Co 9.432 7.702 7.702
Co 4.332 7.090 4.332
Co 4.332 4.332 7.090
Co 7.090 7.090 7.090
Co 7.702 9.432 7.702
Co 7.702 7.702 9.432
Co 9.432 9.432 9.432
Co 4.332 7.090 7.090
! Formation energy (eV/atom): -0.251
! Symmetry: No. 225
! Calculated volume (Å³/cell): 372.6
! Total moment (μB/f.u.): 25.96

---

(18)
! Hf5Co4 | Alexandria via LeMat-Bulk | PBE | optimized geometry; values from VASP
&SYSTEM
  ibrav = 0, nat = 9, ntyp = 2
/
ATOMIC_SPECIES
Hf 178.49 Hf.upf
Co 58.93 Co.upf
CELL_PARAMETERS angstrom
4.710 -2.025 0.000
4.710 2.025 0.000
-3.122 0.000 7.914
ATOMIC_POSITIONS angstrom
Hf 0.000 0.000 0.000
Hf -0.187 0.000 3.163
Hf -0.276 0.000 6.491
Hf 6.573 0.000 1.422
Hf 6.485 0.000 4.750
Co 2.386 0.000 3.034
Co 3.810 0.000 1.176
Co 2.487 0.000 6.738
Co 3.912 0.000 4.879
! Formation energy (eV/atom): -0.330
! Symmetry: No. 12
! Calculated volume (Å³/cell): 151.0
! Total moment (μB/f.u.): 0.00

---

(19)
! HfCo5 | Alexandria via LeMat-Bulk | PBE | optimized geometry; values from VASP
&SYSTEM
  ibrav = 0, nat = 6, ntyp = 2
/
ATOMIC_SPECIES
Hf 178.49 Hf.upf
Co 58.93 Co.upf
CELL_PARAMETERS angstrom
4.735 0.000 0.000
-2.367 4.100 0.000
0.000 0.000 3.962
ATOMIC_POSITIONS angstrom
Hf 0.000 0.000 0.000
Co -1.184 2.050 1.981
Co 0.000 2.734 0.000
Co 2.367 0.000 1.981
Co 1.184 2.050 1.981
Co 2.367 1.367 0.000
! Formation energy (eV/atom): -0.123
! Symmetry: No. 191
! Calculated volume (Å³/cell): 76.9
! Total moment (μB/f.u.): 6.42

---

(20)
! HfCo6 | Alexandria via LeMat-Bulk | PBE | optimized geometry; values from VASP
&SYSTEM
  ibrav = 0, nat = 28, ntyp = 2
/
ATOMIC_SPECIES
Hf 178.49 Hf.upf
Co 58.93 Co.upf
CELL_PARAMETERS angstrom
7.668 0.000 0.000
0.000 4.682 0.000
0.000 0.000 9.640
ATOMIC_POSITIONS angstrom
Hf 1.862 1.171 0.586
Hf 1.972 3.512 5.406
Hf 5.695 1.171 4.234
Hf 5.806 3.512 9.054
Co 0.445 3.512 0.810
Co 0.535 0.046 2.971
Co 0.535 2.295 2.971
Co 0.748 1.171 5.035
Co 1.048 3.512 8.204
Co 1.418 1.171 7.292
Co 2.416 3.512 2.472
Co 2.786 1.171 3.384
Co 3.086 3.512 0.215
Co 3.299 2.387 7.791
Co 3.299 4.636 7.791
Co 3.389 1.171 5.630
Co 4.279 3.512 4.010
Co 4.369 0.046 1.849
Co 4.369 2.295 1.849
Co 4.582 1.171 9.425
Co 4.882 3.512 6.256
Co 5.252 1.171 7.168
Co 6.250 3.512 2.348
Co 6.620 1.171 1.436
Co 6.920 3.512 4.605
Co 7.133 2.387 6.670
Co 7.133 4.636 6.670
Co 7.223 1.171 8.830
! Formation energy (eV/atom): -0.134
! Symmetry: No. 62
! Calculated volume (Å³/cell): 346.1
! Energy above the lowest structure with this stoichiometry (meV/atom): 0
! Total moment (μB/f.u.): 8.10